Compound: RbMg3Ir
Source: the Alexandria database
Functional: PBE
Structure: relaxed

a b c (Å): 5.436 5.436 5.436
angles (deg): 90.00 90.00 90.00
Space group Pm-3m (No. 221)
Symmetry-distinct sites (fractional):
Rb  0.000  0.000  0.000 (multiplicity 1)
Mg  0.000  0.000  0.500 (multiplicity 3)
Ir  0.500  0.500  0.500 (multiplicity 1)

Values from the calculation:
calculated volume = 160.6 Å³ per cell

---

Compound: RbMg3Ir
Source: the Alexandria database
Functional: PBE
Structure: relaxed

a b c (Å): 5.192 5.192 5.192
angles (deg): 90.00 90.00 90.00
Space group Pm-3m (No. 221)
Symmetry-distinct sites (fractional):
Rb  0.000  0.000  0.000 (multiplicity 1)
Mg  0.000  0.500  0.500 (multiplicity 3)
Ir  0.500  0.500  0.500 (multiplicity 1)

Values from the calculation:
calculated volume = 140.0 Å³ per cell

---

Compound: RbMgIr3
Source: the Alexandria database
Functional: PBE
Structure: relaxed

a b c (Å): 4.869 4.869 4.869
angles (deg): 90.00 90.00 90.00
Space group Pm-3m (No. 221)
Symmetry-distinct sites (fractional):
Rb  0.000  0.000  0.000 (multiplicity 1)
Mg  0.500  0.500  0.500 (multiplicity 1)
Ir  0.000  0.000  0.500 (multiplicity 3)

Values from the calculation:
calculated volume = 115.5 Å³ per cell

---

Compound: RbMg2Ir
Source: the Alexandria database
Functional: PBE
Structure: relaxed

a b c (Å): 7.095 7.095 7.095
angles (deg): 90.00 90.00 90.00
Space group Fm-3m (No. 225)
Symmetry-distinct sites (fractional):
Rb  0.000  0.000  0.000 (multiplicity 4)
Mg  0.250  0.250  0.250 (multiplicity 8)
Ir  0.000  0.000  0.500 (multiplicity 4)

Values from the calculation:
calculated volume = 357.2 Å³ per cell

---

Compound: RbMgIr
Source: the Alexandria database
Functional: PBE
Structure: relaxed

a b c (Å): 5.132 4.463 10.412
angles (deg): 90.00 97.30 90.00
Space group P2_1/m (No. 11)
Symmetry-distinct sites (fractional):
Rb  0.201  0.250  0.295 (multiplicity 2)
Mg  0.382  0.250  0.920 (multiplicity 2)
Ir  0.094  0.750  0.005 (multiplicity 2)

Values from the calculation:
calculated volume = 236.6 Å³ per cell

---

Compound: RbMg2Ir
Source: the Alexandria database
Functional: PBE
Structure: relaxed

a b c (Å): 6.134 6.134 15.972
angles (deg): 90.00 90.00 90.00
Space group I4_1/amd (No. 141, origin choice 2)
Symmetry-distinct sites (fractional):
Rb  0.000  0.250  0.375 (multiplicity 4)
Mg  0.000  0.000  0.000 (multiplicity 8)
Ir  0.000  0.250  0.875 (multiplicity 4)

Values from the calculation:
calculated volume = 600.9 Å³ per cell

---

Compound: RbMgIr3
Source: the Alexandria database
Functional: PBE
Structure: relaxed

a b c (Å): 4.784 4.784 4.784
angles (deg): 90.00 90.00 90.00
Space group Pm-3m (No. 221)
Symmetry-distinct sites (fractional):
Rb  0.000  0.000  0.000 (multiplicity 1)
Mg  0.500  0.500  0.500 (multiplicity 1)
Ir  0.000  0.500  0.500 (multiplicity 3)

Values from the calculation:
calculated volume = 109.5 Å³ per cell

---

Compound: Rb2MgIrRh
Source: the Alexandria database
Functional: PBE
Structure: relaxed

a b c (Å): 6.432 6.432 4.661
angles (deg): 90.00 90.00 90.00
Space group P4/mmm (No. 123)
Symmetry-distinct sites (fractional):
Rb  0.000  0.500  0.000 (multiplicity 2)
Mg  0.000  0.000  0.500 (multiplicity 1)
Ir  0.500  0.500  0.500 (multiplicity 1)
Rh  0.500  0.500  0.000 (multiplicity 1)

Values from the calculation:
calculated volume = 192.8 Å³ per cell

---

Compound: RbMg2SiIr
Source: the Alexandria database
Functional: PBE
Structure: relaxed

a b c (Å): 5.206 5.206 4.624
angles (deg): 90.00 90.00 90.00
Space group P4/mmm (No. 123)
Symmetry-distinct sites (fractional):
Rb  0.000  0.000  0.000 (multiplicity 1)
Mg  0.000  0.500  0.500 (multiplicity 2)
Si  0.500  0.500  0.000 (multiplicity 1)
Ir  0.500  0.500  0.500 (multiplicity 1)

Values from the calculation:
calculated volume = 125.3 Å³ per cell

---

Compound: RbMg2TaIr
Source: the Alexandria database
Functional: PBE
Structure: relaxed

a b c (Å): 5.019 5.019 5.548
angles (deg): 90.00 90.00 90.00
Space group P4/mmm (No. 123)
Symmetry-distinct sites (fractional):
Rb  0.000  0.000  0.000 (multiplicity 1)
Mg  0.000  0.500  0.500 (multiplicity 2)
Ta  0.500  0.500  0.000 (multiplicity 1)
Ir  0.000  0.000  0.500 (multiplicity 1)

Values from the calculation:
calculated volume = 139.8 Å³ per cell

---

Compound: MgReIr2
Source: the Alexandria database
Functional: PBE
Structure: relaxed

a b c (Å): 4.028 4.028 7.374
angles (deg): 90.00 90.00 90.00
Space group I4/mmm (No. 139)
Symmetry-distinct sites (fractional):
Mg  0.000  0.000  0.000 (multiplicity 2)
Re  0.000  0.000  0.500 (multiplicity 2)
Ir  0.000  0.500  0.250 (multiplicity 4)

Values from the calculation:
calculated volume = 119.6 Å³ per cell

---

Compound: MgReIr2
Source: the Alexandria database
Functional: PBE
Structure: relaxed

a b c (Å): 6.217 6.217 6.217
angles (deg): 90.00 90.00 90.00
Space group F-43m (No. 216)
Symmetry-distinct sites (fractional):
Mg  0.000  0.000  0.000 (multiplicity 4)
Re  0.250  0.250  0.250 (multiplicity 4)
Ir  0.000  0.000  0.500 (multiplicity 4)
Ir  0.250  0.250  0.750 (multiplicity 4)

Values from the calculation:
calculated volume = 240.3 Å³ per cell

---

Compound: MgReIr6
Source: the Alexandria database
Functional: PBE
Structure: relaxed

a b c (Å): 3.883 3.883 7.798
angles (deg): 90.00 90.00 90.00
Space group P4/mmm (No. 123)
Symmetry-distinct sites (fractional):
Mg  0.000  0.000  0.000 (multiplicity 1)
Re  0.000  0.000  0.500 (multiplicity 1)
Ir  0.000  0.500  0.258 (multiplicity 4)
Ir  0.500  0.500  0.000 (multiplicity 1)
Ir  0.500  0.500  0.500 (multiplicity 1)

Values from the calculation:
calculated volume = 117.6 Å³ per cell

---

Compound: MgReIr2
Source: the Alexandria database
Functional: PBE
Structure: relaxed

a b c (Å): 2.790 4.078 5.329
angles (deg): 90.00 90.00 90.00
Space group Pmm2 (No. 25)
Symmetry-distinct sites (fractional):
Mg  0.000  0.000  0.000 (multiplicity 1)
Re  0.500  0.500  0.299 (multiplicity 1)
Ir  0.000  0.000  0.494 (multiplicity 1)
Ir  0.500  0.500  0.809 (multiplicity 1)

Values from the calculation:
calculated volume = 60.6 Å³ per cell

---

DOS at the Fermi energy in states/eV per cell, matching the order above: 4.4; 2.5; 6.1; 6.7; 3.1; 6.6; 5.5; 4.2; 1.2; 7.9; 6.5; 22.3; 8.0; 3.2
Electronic total energy in eV per atom, matching the order above: -0.83; -3.00; -3.00; -2.81; -3.76; -2.86; -4.19; -3.09; -3.91; -3.39; -8.00; -7.70; -8.61; -7.97